No. 1
First-principles (PBE) data for a relaxed Sr2TcNi crystal, as listed in Alexandria via LeMat-Bulk.

The calculation puts the energy relative to the elements at 0.473 eV per atom. For the density of states at the Fermi level, the calculation gives 1.438 states/eV per atom. The polymorph energy (0 for the lowest one) comes out at 10.25 kJ/mol of atoms.

It has space group Cmm2 (No. 35), with a = 4.538 Å, b = 5.213 Å, c = 8.991 Å, α = 90.00°, β = 90.00° and γ = 90.00°. The asymmetric unit holds Sr at (0.000, 0.000, 0.000), Sr at (0.000, 0.500, 0.417), Tc at (0.000, 0.000, 0.671) and Ni at (0.000, 0.500, 0.755).

***

No. 2
First-principles (PBE) data for a relaxed Tc2MoAuN crystal, as listed in Alexandria via LeMat-Bulk.

The value obtained for the uncorrected formation energy is 1473 meV/atom. For the density of states at the Fermi level, the calculation gives 1.636 states/eV per atom. The polymorph energy (0 for the lowest one) comes out at 139.01 kJ/mol of atoms.

It has space group P4/mmm (No. 123), with a = 4.813 Å, b = 4.813 Å, c = 3.791 Å, α = 90.00°, β = 90.00° and γ = 90.00°. The asymmetric unit holds Tc at (0.000, 0.500, 0.000), Mo at (0.000, 0.000, 0.000), Au at (0.500, 0.500, 0.500) and N at (0.000, 0.000, 0.500).

***

No. 3
First-principles (PBE) data for a relaxed Ac5Nd4Cd crystal, as listed in Alexandria via LeMat-Bulk.

The calculation puts the energy relative to the elements at -0.037 eV per atom. For the density of states at the Fermi level, the calculation gives 1.430 states/eV per atom.

It has space group P4/mmm (No. 123), with a = 3.922 Å, b = 3.922 Å, c = 25.302 Å, α = 90.00°, β = 90.00° and γ = 90.00°. The asymmetric unit holds Ac at (0.000, 0.000, 0.000), Ac at (0.000, 0.000, 0.207), Ac at (0.000, 0.000, 0.415), Nd at (0.500, 0.500, 0.103), Nd at (0.500, 0.500, 0.310) and Cd at (0.500, 0.500, 0.500).

***

No. 4
First-principles (PBE) data for a relaxed PrSmTl6 crystal, as listed in Alexandria via LeMat-Bulk.

The calculation puts the energy relative to the elements at -0.311 eV per atom. For the density of states at the Fermi level, the calculation gives 0.407 states/eV per atom.

It has space group P4/mmm (No. 123), with a = 4.832 Å, b = 4.832 Å, c = 9.662 Å, α = 90.00°, β = 90.00° and γ = 90.00°. The asymmetric unit holds Pr at (0.000, 0.000, 0.000), Sm at (0.000, 0.000, 0.500), Tl at (0.000, 0.500, 0.252), Tl at (0.500, 0.500, 0.000) and Tl at (0.500, 0.500, 0.500).

***

Short version: E_tot = -35.24 -35.80 -40.89 -26.19 eV/cell, in the order given.